A geometry-optimized Ac2MnTe2O2 structure. Source: Alexandria, functional PBE+U.

## Properties
- total DFT energy (no corrections) (eV/atom) = -6.75
- V (Å³/cell) = 175.3
- SG = C2/m (12)

Cell lengths 6.5295, 6.5295, 7.9051 Å; angles 120.22, 120.22, 37.91 degrees
Closest atoms and distances in Å follow each position.
Atoms (fractional coordinates):
Ac 0.1980 0.1980 0.2624  3 O 2.47-2.49
Ac 0.8020 0.8020 0.7376  3 O 2.47-2.49
Mn 0.0000 0.0000 0.5000  2 O 2.15
Te 0.4421 0.4421 0.1825  2 Mn 3.07, 1 Ac 3.39
Te 0.5579 0.5579 0.8175  2 Mn 3.07, 1 Ac 3.39
O 0.1945 0.1945 0.5747  1 Mn 2.15
O 0.8055 0.8055 0.4253  1 Mn 2.15